Record 1
Compound: TiNiPtSe2
Source: the Alexandria database
Functional: PBE
Structure: optimized geometry

Unit cell a=4.7616 b=4.4959 c=4.7616 alpha=90.00 beta=90.00 gamma=90.00
Positions (direct):
Ni 0.0000 0.5000 0.0000
Se 0.0000 0.0000 0.5000
Se 0.5000 0.0000 0.0000
Pt 0.5000 0.5000 0.5000
Ti 0.0000 0.0000 0.0000

Properties
raw formation energy = 0.555 eV/atom
ρ = 7486 kg/m3
DOS(E_F) = 4.884 states/eV/f.u.
crystal system = tetragonal
total magnetic moment = 0.0 μB per cell

=====

Record 2
Compound: SiNiPt3
Source: the Alexandria database
Functional: PBE
Structure: optimized geometry

Unit cell a=4.5518 b=4.5518 c=4.5518 alpha=90.00 beta=90.00 gamma=90.00
Each line ends with the local moment (μB).
Positions (direct):
Ni 0.0000 0.0000 0.0000  0.35
Si 0.5000 0.5000 0.5000  0.01
Pt 0.0000 0.5000 0.0000  0.11
Pt 0.0000 0.0000 0.5000  0.09
Pt 0.5000 0.0000 0.0000  0.05

Properties
raw formation energy = 1.038 eV/atom
ρ = 11833 kg/m3
DOS(E_F) = 9.321 states/eV/f.u.
crystal system = cubic
total magnetic moment = 0.6 μB per cell
energy above the lowest structure with this stoichiometry = 0.5786 eV/atom

=====

Record 3
Compound: Si2NiPt
Source: the Alexandria database
Functional: PBE
Structure: optimized geometry

Unit cell a=7.7998 b=7.7998 c=7.7998 alpha=20.87 beta=20.87 gamma=20.87
Positions (direct):
Ni 0.2500 0.2500 0.2500
Pt 0.7500 0.7500 0.7500
Si 0.9936 0.9936 0.9936
Si 0.5064 0.5064 0.5064

Properties
raw formation energy = -0.337 eV/atom
ρ = 9762 kg/m3
DOS(E_F) = 1.075 states/eV/f.u.
crystal system = trigonal
total magnetic moment = 0.0 μB per cell

=====

Record 4
Compound: Si2NiPt
Source: the Alexandria database
Functional: PBE
Structure: optimized geometry

Unit cell a=3.8627 b=3.8627 c=8.2482 alpha=76.46 beta=76.46 gamma=90.00
Positions (direct):
Ni 0.5000 0.5000 0.0000
Ni 0.2500 0.7500 0.5000
Si 0.6004 0.1250 0.2500
Si 0.1496 0.6250 0.2500
Si 0.3750 0.3996 0.7500
Si 0.8750 0.8504 0.7500
Pt 0.0000 0.0000 0.0000
Pt 0.7500 0.2500 0.5000

Properties
raw formation energy = -0.334 eV/atom
ρ = 8864 kg/m3
DOS(E_F) = 2.153 states/eV/f.u.
crystal system = tetragonal
total magnetic moment = 0.0 μB per cell